[1]
Compound: KMnW
Source: the Alexandria database
Functional: PBE-GGA
Structure: optimized geometry

Total moment in μB per atom: 0.590
Theoretical density in g cm⁻³: 6.83
Energy above the most stable polymorph in this dataset in meV/atom: 0.0

Structure (CIF):
```
data_KMnW
_chemical_formula_sum 'K2 Mn2 W2'
_cell_length_a 3.127
_cell_length_b 3.159
_cell_length_c 13.673
_cell_angle_alpha 90.00
_cell_angle_beta 90.00
_cell_angle_gamma 90.00
_space_group_name_H-M_alt 'I m m 2'
_space_group_IT_number 44
loop_
_space_group_symop_operation_xyz
'x,y,z'
'-x,-y,z'
'-x,y,z'
'x,-y,z'
'x+1/2,y+1/2,z+1/2'
'-x+1/2,-y+1/2,z+1/2'
'-x+1/2,y+1/2,z+1/2'
'x+1/2,-y+1/2,z+1/2'
loop_
_atom_site_label
_atom_site_fract_x
_atom_site_fract_y
_atom_site_fract_z
_atom_site_occupancy
K1 0.000 0.000 0.000 1
Mn1 0.000 0.000 0.704 1
W1 0.000 0.000 0.278 1
```

[2]
Compound: KMn2W
Source: the Alexandria database
Functional: PBE-GGA
Structure: optimized geometry

Total moment in μB per atom: 1.289
Theoretical density in g cm⁻³: 4.82
Energy above the most stable polymorph in this dataset in meV/atom: 820.2

Structure (CIF):
```
data_KMn2W
_chemical_formula_sum 'K4 Mn8 W4'
_cell_length_a 5.365
_cell_length_b 5.365
_cell_length_c 15.944
_cell_angle_alpha 90.00
_cell_angle_beta 90.00
_cell_angle_gamma 90.00
_space_group_name_H-M_alt 'I 41/a m d'
_space_group_IT_number 141
loop_
_space_group_symop_operation_xyz
'x,y,z'
'-x,-y,-z'
'-y+1/4,x+3/4,z+1/4'
'y+1/4,-x+3/4,-z+1/4'
'-x+1/2,-y,z+1/2'
'x+1/2,y,-z+1/2'
'y+1/4,-x+1/4,z+3/4'
'-y+1/4,x+1/4,-z+3/4'
'x,-y,-z'
'-x,y,z'
'-y+1/4,-x+1/4,-z+3/4'
'y+1/4,x+1/4,z+3/4'
'-x+1/2,y,-z+1/2'
'x+1/2,-y,z+1/2'
'y+1/4,x+3/4,-z+1/4'
'-y+1/4,-x+3/4,z+1/4'
'x+1/2,y+1/2,z+1/2'
'-x+1/2,-y+1/2,-z+1/2'
'-y+3/4,x+1/4,z+3/4'
'y+3/4,-x+1/4,-z+3/4'
'-x,-y+1/2,z'
'x,y+1/2,-z'
'y+3/4,-x+3/4,z+1/4'
'-y+3/4,x+3/4,-z+1/4'
'x+1/2,-y+1/2,-z+1/2'
'-x+1/2,y+1/2,z+1/2'
'-y+3/4,-x+3/4,-z+1/4'
'y+3/4,x+3/4,z+1/4'
'-x,y+1/2,-z'
'x,-y+1/2,z'
'y+3/4,x+1/4,-z+3/4'
'-y+3/4,-x+1/4,z+3/4'
loop_
_atom_site_label
_atom_site_fract_x
_atom_site_fract_y
_atom_site_fract_z
_atom_site_occupancy
K1 0.000 0.250 0.375 1
Mn1 0.000 0.000 0.000 1
W1 0.000 0.250 0.875 1
```

[3]
Compound: KMn2W
Source: the Alexandria database
Functional: PBE-GGA
Structure: optimized geometry

Total moment in μB per atom: 1.386
Theoretical density in g cm⁻³: 7.48
Energy above the most stable polymorph in this dataset in meV/atom: 543.3

Structure (CIF):
```
data_KMn2W
_chemical_formula_sum 'K2 Mn4 W2'
_cell_length_a 2.664
_cell_length_b 5.213
_cell_length_c 10.647
_cell_angle_alpha 90.00
_cell_angle_beta 90.00
_cell_angle_gamma 90.00
_space_group_name_H-M_alt 'I m m 2'
_space_group_IT_number 44
loop_
_space_group_symop_operation_xyz
'x,y,z'
'-x,-y,z'
'-x,y,z'
'x,-y,z'
'x+1/2,y+1/2,z+1/2'
'-x+1/2,-y+1/2,z+1/2'
'-x+1/2,y+1/2,z+1/2'
'x+1/2,-y+1/2,z+1/2'
loop_
_atom_site_label
_atom_site_fract_x
_atom_site_fract_y
_atom_site_fract_z
_atom_site_occupancy
K1 0.000 0.000 0.000 1
Mn1 0.000 0.000 0.491 1
Mn2 0.000 0.500 0.781 1
W1 0.000 0.500 0.208 1
```

[4]
Compound: KMn2W
Source: the Alexandria database
Functional: PBE-GGA
Structure: optimized geometry

Total moment in μB per atom: 1.374
Theoretical density in g cm⁻³: 7.01
Energy above the most stable polymorph in this dataset in meV/atom: 243.8

Structure (CIF):
```
data_KMn2W
_chemical_formula_sum 'K3 Mn6 W3'
_cell_length_a 3.0378
_cell_length_b 3.0378
_cell_length_c 29.5983
_cell_angle_alpha 90.00
_cell_angle_beta 90.00
_cell_angle_gamma 120.00
_space_group_name_H-M_alt 'R -3 m'
_space_group_IT_number 166
_space_group_name_Hall '-R 3 2"'
loop_
_atom_site_label
_atom_site_fract_x
_atom_site_fract_y
_atom_site_fract_z
_atom_site_occupancy
K1 0.0000 0.0000 0.0000 1
Mn1 0.0000 0.0000 0.2305 1
W1 0.0000 0.0000 0.5000 1
```